The following is a PBE calculation of a relaxed Pm14SmTl crystal, from Alexandria.

a = 7.2165 Å, b = 7.2165 Å, c = 10.2578 Å
α = 90.00°, β = 90.00°, γ = 90.00°
With the nearest neighbours (Å) after each atom.
Sites, in units of the cell vectors:
1 Pm 0.0000 0.0000 0.0000  12 Pm 3.61-3.63
2 Pm 0.0000 0.5000 0.0000  12 Pm 3.61-3.64
3 Pm 0.0000 0.5000 0.5000  8 Pm 3.59, 2 Tl 3.61, 2 Sm 3.61
4 Pm 0.2488 0.2488 0.2535  1 Tl 3.58, 10 Pm 3.59-3.65, 1 Sm 3.60
5 Pm 0.2488 0.2488 0.7465  1 Tl 3.58, 10 Pm 3.59-3.65, 1 Sm 3.60
6 Pm 0.2488 0.7512 0.2535  1 Tl 3.58, 10 Pm 3.59-3.65, 1 Sm 3.60
7 Pm 0.2488 0.7512 0.7465  1 Tl 3.58, 10 Pm 3.59-3.65, 1 Sm 3.60
8 Pm 0.5000 0.0000 0.0000  12 Pm 3.61-3.64
9 Pm 0.5000 0.0000 0.5000  8 Pm 3.59, 2 Tl 3.61, 2 Sm 3.61
10 Pm 0.5000 0.5000 0.0000  12 Pm 3.61-3.65
11 Pm 0.7512 0.2488 0.2535  1 Tl 3.58, 10 Pm 3.59-3.65, 1 Sm 3.60
12 Pm 0.7512 0.2488 0.7465  1 Tl 3.58, 10 Pm 3.59-3.65, 1 Sm 3.60
13 Pm 0.7512 0.7512 0.2535  1 Tl 3.58, 10 Pm 3.59-3.65, 1 Sm 3.60
14 Pm 0.7512 0.7512 0.7465  1 Tl 3.58, 10 Pm 3.59-3.65, 1 Sm 3.60
15 Sm 0.5000 0.5000 0.5000  12 Pm 3.60-3.61
16 Tl 0.0000 0.0000 0.5000  12 Pm 3.58-3.61

Values from the calculation:
For the formation enthalpy at 0 K, the calculation gives -0.0199 eV per atom. For the total moment, the calculation gives 0.0 μB per formula unit. As for the crystal system: tetragonal. The calculation puts the calculated density at 7.41 g cm⁻³. Its space-group type is P4/mmm.